First-principles (PBE) data for a relaxed Pm4Te3Pb crystal, as listed in Alexandria.

## Properties
The crystal system is orthorhombic. As for the symmetry: No. 65. The uncorrected formation energy comes out at -1.24 eV per atom. The value obtained for the relative energy among the computed polymorphs is 0.016 eV/atom.

Cell: 8.9804 12.7157 4.5020 Å, 90.00 90.00 90.00°
Last column: nearest neighbours and their distance in Å.
Element x y z (fractional)
Pm  0.0000  0.2467  0.0000  1 Pb 3.14, 5 Te 3.18-3.22
Pm  0.0000  0.7533  0.0000  1 Pb 3.14, 5 Te 3.18-3.22
Pm  0.2451  0.0000  0.5000  2 Pb 3.15, 4 Te 3.18-3.21
Pm  0.2549  0.5000  0.5000  2 Pb 3.15, 4 Te 3.18-3.21
Pm  0.5000  0.2533  0.0000  1 Pb 3.14, 5 Te 3.18-3.22
Pm  0.5000  0.7467  0.0000  1 Pb 3.14, 5 Te 3.18-3.22
Pm  0.7451  0.5000  0.5000  2 Pb 3.15, 4 Te 3.18-3.21
Pm  0.7549  0.0000  0.5000  2 Pb 3.15, 4 Te 3.18-3.21
Te  0.0000  0.5000  0.0000  6 Pm 3.21-3.22
Te  0.2500  0.2500  0.5000  6 Pm 3.18
Te  0.2500  0.7500  0.5000  6 Pm 3.18
Te  0.5000  0.0000  0.0000  6 Pm 3.21-3.22
Te  0.7500  0.2500  0.5000  6 Pm 3.18
Te  0.7500  0.7500  0.5000  6 Pm 3.18
Pb  0.0000  0.0000  0.0000  6 Pm 3.14-3.15
Pb  0.5000  0.5000  0.0000  6 Pm 3.14-3.15